No. 1
Density functional theory data (PBE-GGA) for a geometry-optimized ZrCd3Te structure.

Geometry as CIF:
```
data_ZrCd3Te
_space_group_name_H-M_alt 'P m -3 m'
_space_group_IT_number 221
_space_group_name_Hall '-P 4 2 3'
_cell_length_a 5.6304
_cell_length_b 5.6304
_cell_length_c 5.6304
_cell_angle_alpha 90.00
_cell_angle_beta 90.00
_cell_angle_gamma 90.00
loop_
_atom_site_label
_atom_site_fract_x
_atom_site_fract_y
_atom_site_fract_z
Zr1 0.0000 0.0000 0.0000
Cd1 0.0000 0.0000 0.5000
Te1 0.5000 0.5000 0.5000
```

Output
D(E_F) ... 3.994 states/eV/f.u.
E ... -2.09 eV per atom
Total magnetization ... 0.0 Bohr magnetons per cell


No. 2
Density functional theory data (PBE-GGA) for a geometry-optimized ZrCdTe structure.

Geometry as CIF:
```
data_ZrCdTe
_space_group_name_H-M_alt 'P 4/n m m'
_space_group_IT_number 129
_cell_length_a 4.0306
_cell_length_b 4.0306
_cell_length_c 8.9762
_cell_angle_alpha 90.00
_cell_angle_beta 90.00
_cell_angle_gamma 90.00
loop_
_space_group_symop_operation_xyz
'x,y,z'
'-x,-y,-z'
'-y+1/2,x,z'
'y+1/2,-x,-z'
'-x+1/2,-y+1/2,z'
'x+1/2,y+1/2,-z'
'y,-x+1/2,z'
'-y,x+1/2,-z'
'x+1/2,-y,-z'
'-x+1/2,y,z'
'-y,-x,-z'
'y,x,z'
'-x,y+1/2,-z'
'x,-y+1/2,z'
'y+1/2,x+1/2,-z'
'-y+1/2,-x+1/2,z'
loop_
_atom_site_label
_atom_site_fract_x
_atom_site_fract_y
_atom_site_fract_z
Zr1 0.2500 0.2500 0.2210
Cd1 0.2500 0.7500 0.5000
Te1 0.2500 0.2500 0.8757
```

Output
D(E_F) ... 2.823 states/eV/f.u.
E ... -4.62 eV per atom
Total magnetization ... 0.0 Bohr magnetons per cell